1.
## Sr3Hg3Pt (PBE)

Data for a relaxed Sr3Hg3Pt crystal.

- calculated total energy (eV per atom) = -2.29
- formation energy (eV per atom) = -0.5814
- total magnetization (μB per cell) = 0.000

Cell: 6.335 6.335 17.086 Å, 104.69 104.69 40.17°
Sites, in units of the cell vectors:
Sr 0.024 0.024 0.390
Sr 0.105 0.105 0.921
Sr 0.239 0.239 0.245
Sr 0.761 0.761 0.755
Sr 0.895 0.895 0.079
Sr 0.976 0.976 0.610
Hg 0.343 0.343 0.462
Hg 0.384 0.384 0.922
Hg 0.484 0.484 0.766
Hg 0.516 0.516 0.234
Hg 0.616 0.616 0.078
Hg 0.657 0.657 0.538
Pt 0.286 0.286 0.627
Pt 0.714 0.714 0.373



2.
## SrHg2Pt (PBE)

Data for a relaxed SrHg2Pt crystal.

- calculated total energy (eV per atom) = -2.48
- formation energy (eV per atom) = -0.3956
- total magnetization (μB per cell) = 0.000

Cell: 4.755 4.890 4.801 Å, 90.00 102.25 90.00°
Sites, in units of the cell vectors:
Sr 0.000 0.000 0.000
Hg 0.305 0.500 0.698
Hg 0.695 0.500 0.302
Pt 0.500 0.000 0.500



3.
## Sr5HgPt (PBE)

Data for a relaxed Sr5HgPt crystal.

- calculated total energy (eV per atom) = -2.54
- formation energy (eV per atom) = -0.4286
- total magnetization (μB per cell) = 0.000

Cell: 8.708 4.642 14.162 Å, 90.00 92.05 90.00°
Sites, in units of the cell vectors:
Sr 0.064 0.250 0.156
Sr 0.150 0.750 0.571
Sr 0.335 0.750 0.020
Sr 0.346 0.250 0.784
Sr 0.365 0.250 0.366
Sr 0.635 0.750 0.634
Sr 0.654 0.750 0.216
Sr 0.665 0.250 0.980
Sr 0.850 0.250 0.429
Sr 0.936 0.750 0.844
Hg 0.067 0.750 0.331
Hg 0.933 0.250 0.669
Pt 0.439 0.250 0.150
Pt 0.561 0.750 0.850



4.
## Sr4HgPt (PBE)

Data for a relaxed Sr4HgPt crystal.

- offset from the most stable computed form (eV/atom) = 1.009
- calculated total energy (eV per atom) = -1.67
- formation energy (eV per atom) = 0.5104
- total magnetization (μB per cell) = 0.000

Cell: 6.713 6.713 6.713 Å, 60.00 60.00 60.00°
Sites, in units of the cell vectors:
Sr 0.376 0.376 0.376
Sr 0.376 0.376 0.873
Sr 0.376 0.873 0.376
Sr 0.873 0.376 0.376
Hg 0.000 0.000 0.000
Pt 0.750 0.750 0.750



5.
## SrHgPt2 (PBE)

Data for a relaxed SrHgPt2 crystal.

- calculated total energy (eV per atom) = -3.46
- formation energy (eV per atom) = 0.0538
- total magnetization (μB per cell) = 0.000

Cell: 3.287 3.287 27.520 Å, 90.00 90.00 120.00°
Sites, in units of the cell vectors:
Sr 0.000 0.000 0.000
Sr 0.333 0.667 0.667
Sr 0.667 0.333 0.333
Hg 0.000 0.000 0.500
Hg 0.333 0.667 0.167
Hg 0.667 0.333 0.833
Pt 0.000 0.000 0.247
Pt 0.000 0.000 0.753
Pt 0.333 0.667 0.420
Pt 0.333 0.667 0.914
Pt 0.667 0.333 0.086
Pt 0.667 0.333 0.580



6.
## Sr6HgPt2 (PBE)

Data for a relaxed Sr6HgPt2 crystal.

- calculated total energy (eV per atom) = -3.07
- formation energy (eV per atom) = -0.5728
- total magnetization (μB per cell) = 0.000

Cell: 7.694 7.694 7.199 Å, 90.00 90.00 120.00°
Sites, in units of the cell vectors:
Sr 0.000 0.350 0.234
Sr 0.000 0.650 0.766
Sr 0.350 0.000 0.234
Sr 0.350 0.350 0.766
Sr 0.650 0.000 0.766
Sr 0.650 0.650 0.234
Hg 0.000 0.000 0.500
Pt 0.333 0.667 0.000
Pt 0.667 0.333 0.000



7.
## SrHg2Pt (PBE)

Data for a relaxed SrHg2Pt crystal.

- calculated total energy (eV per atom) = -2.50
- formation energy (eV per atom) = -0.4139
- total magnetization (μB per cell) = 0.000

Cell: 4.733 4.733 16.052 Å, 90.00 90.00 120.00°
Sites, in units of the cell vectors:
Sr 0.000 0.000 0.000
Sr 0.333 0.667 0.667
Sr 0.667 0.333 0.333
Hg 0.000 0.000 0.219
Hg 0.000 0.000 0.781
Hg 0.333 0.667 0.448
Hg 0.333 0.667 0.885
Hg 0.667 0.333 0.115
Hg 0.667 0.333 0.552
Pt 0.000 0.000 0.500
Pt 0.333 0.667 0.167
Pt 0.667 0.333 0.833



8.
## Sr4HgPt (PBE)

Data for a relaxed Sr4HgPt crystal.

- offset from the most stable computed form (eV/atom) = 0.041
- calculated total energy (eV per atom) = -2.64
- formation energy (eV per atom) = -0.4573
- total magnetization (μB per cell) = 0.000

Cell: 7.550 7.903 9.392 Å, 71.74 66.34 89.98°
Sites, in units of the cell vectors:
Sr 0.033 0.488 0.296
Sr 0.172 0.988 0.296
Sr 0.277 0.860 0.829
Sr 0.394 0.360 0.829
Sr 0.606 0.640 0.171
Sr 0.723 0.140 0.171
Sr 0.828 0.012 0.704
Sr 0.967 0.512 0.704
Hg 0.287 0.250 0.500
Hg 0.713 0.750 0.500
Pt 0.000 0.500 0.000
Pt 0.500 0.000 0.000



9.
## Sr4Hg3Pt (PBE)

Data for a relaxed Sr4Hg3Pt crystal.

- calculated total energy (eV per atom) = -2.29
- formation energy (eV per atom) = -0.5809
- total magnetization (μB per cell) = 0.000

Cell: 3.888 3.888 15.895 Å, 90.00 90.00 90.00°
Sites, in units of the cell vectors:
Sr 0.000 0.000 0.109
Sr 0.000 0.000 0.370
Sr 0.000 0.000 0.630
Sr 0.000 0.000 0.891
Hg 0.500 0.500 0.241
Hg 0.500 0.500 0.500
Hg 0.500 0.500 0.759
Pt 0.500 0.500 0.000



10.
## SrHgPt2 (PBE)

Data for a relaxed SrHgPt2 crystal.

- calculated total energy (eV per atom) = -3.78
- formation energy (eV per atom) = -0.2670
- total magnetization (μB per cell) = 0.000

Cell: 3.631 3.631 7.114 Å, 90.00 90.00 90.00°
Sites, in units of the cell vectors:
Sr 0.000 0.000 0.000
Hg 0.500 0.500 0.311
Pt 0.000 0.000 0.595
Pt 0.500 0.500 0.700



11.
## Sr4Hg2Pt (PBE)

Data for a relaxed Sr4Hg2Pt crystal.

- offset from the most stable computed form (eV/atom) = 0.000
- calculated total energy (eV per atom) = -2.46
- formation energy (eV per atom) = -0.5521
- total magnetization (μB per cell) = 0.000

Cell: 16.192 4.773 6.819 Å, 90.00 104.69 90.00°
Sites, in units of the cell vectors:
Sr 0.080 0.000 0.267
Sr 0.150 0.500 0.820
Sr 0.350 0.000 0.180
Sr 0.420 0.500 0.733
Sr 0.580 0.500 0.267
Sr 0.650 0.000 0.820
Sr 0.850 0.500 0.180
Sr 0.920 0.000 0.733
Hg 0.236 0.500 0.345
Hg 0.264 0.000 0.655
Hg 0.736 0.000 0.345
Hg 0.764 0.500 0.655
Pt 0.000 0.500 0.000
Pt 0.500 0.000 0.000



12.
## Sr8Hg2Pt3 (PBE)

Data for a relaxed Sr8Hg2Pt3 crystal.

- calculated total energy (eV per atom) = -3.02
- formation energy (eV per atom) = -0.5464
- total magnetization (μB per cell) = 0.000

Cell: 9.470 5.339 9.493 Å, 90.00 109.98 90.00°
Sites, in units of the cell vectors:
Sr 0.112 0.000 0.387
Sr 0.128 0.500 0.858
Sr 0.358 0.500 0.627
Sr 0.384 0.000 0.116
Sr 0.616 0.000 0.884
Sr 0.642 0.500 0.373
Sr 0.872 0.500 0.142
Sr 0.888 0.000 0.613
Hg 0.255 0.500 0.244
Hg 0.745 0.500 0.756
Pt 0.000 0.500 0.500
Pt 0.260 0.000 0.760
Pt 0.740 0.000 0.240



13.
## SrTbHgPt (PBE)

Data for a relaxed SrTbHgPt crystal.

- calculated total energy (eV per atom) = -3.81
- formation energy (eV per atom) = -0.6461
- total magnetization (μB per cell) = 0.000

Cell: 7.402 7.402 7.402 Å, 90.00 90.00 90.00°
Sites, in units of the cell vectors:
Sr 0.000 0.000 0.000
Sr 0.000 0.500 0.500
Sr 0.500 0.000 0.500
Sr 0.500 0.500 0.000
Tb 0.000 0.000 0.500
Tb 0.000 0.500 0.000
Tb 0.500 0.000 0.000
Tb 0.500 0.500 0.500
Hg 0.250 0.250 0.250
Hg 0.250 0.750 0.750
Hg 0.750 0.250 0.750
Hg 0.750 0.750 0.250
Pt 0.250 0.250 0.750
Pt 0.250 0.750 0.250
Pt 0.750 0.250 0.250
Pt 0.750 0.750 0.750



14.
## Sr2HgTePt (PBE)

Data for a relaxed Sr2HgTePt crystal.

- calculated total energy (eV per atom) = -3.40
- total magnetization (μB per cell) = 0.000

Cell: 5.803 5.803 5.187 Å, 90.00 90.00 90.00°
Sites, in units of the cell vectors:
Sr 0.000 0.500 0.000
Sr 0.500 0.000 0.000
Hg 0.000 0.000 0.500
Te 0.500 0.500 0.500
Pt 0.000 0.000 0.000



15.
## SrThHgPt (PBE)

Data for a relaxed SrThHgPt crystal.

- calculated total energy (eV per atom) = -4.38
- formation energy (eV per atom) = -0.5238
- total magnetization (μB per cell) = 0.000

Cell: 7.513 7.513 7.513 Å, 90.00 90.00 90.00°
Sites, in units of the cell vectors:
Sr 0.000 0.000 0.000
Sr 0.000 0.500 0.500
Sr 0.500 0.000 0.500
Sr 0.500 0.500 0.000
Th 0.000 0.000 0.500
Th 0.000 0.500 0.000
Th 0.500 0.000 0.000
Th 0.500 0.500 0.500
Hg 0.250 0.250 0.250
Hg 0.250 0.750 0.750
Hg 0.750 0.250 0.750
Hg 0.750 0.750 0.250
Pt 0.250 0.250 0.750
Pt 0.250 0.750 0.250
Pt 0.750 0.250 0.250
Pt 0.750 0.750 0.750



16.
## SrTlHg2Pt (PBE)

Data for a relaxed SrTlHg2Pt crystal.

- offset from the most stable computed form (eV/atom) = 0.000
- calculated total energy (eV per atom) = -2.38
- formation energy (eV per atom) = -0.2368
- total magnetization (μB per cell) = 0.000

Cell: 5.351 5.351 5.638 Å, 90.00 90.00 90.00°
Sites, in units of the cell vectors:
Sr 0.000 0.000 0.000
Tl 0.500 0.500 0.000
Hg 0.000 0.500 0.500
Hg 0.500 0.000 0.500
Pt 0.000 0.000 0.500



17.
## SrTlHg2Pt (PBE)

Data for a relaxed SrTlHg2Pt crystal.

- offset from the most stable computed form (eV/atom) = 0.011
- calculated total energy (eV per atom) = -2.36
- formation energy (eV per atom) = -0.2260
- total magnetization (μB per cell) = 0.000

Cell: 5.340 5.340 5.250 Å, 90.00 90.00 90.00°
Sites, in units of the cell vectors:
Sr 0.000 0.000 0.000
Tl 0.500 0.500 0.000
Hg 0.000 0.500 0.500
Hg 0.500 0.000 0.500
Pt 0.500 0.500 0.500



18.
## SrTlHgPt (PBE)

Data for a relaxed SrTlHgPt crystal.

- calculated total energy (eV per atom) = -2.95
- formation energy (eV per atom) = -0.3536
- total magnetization (μB per cell) = 0.000

Cell: 7.436 7.436 7.436 Å, 90.00 90.00 90.00°
Sites, in units of the cell vectors:
Sr 0.000 0.000 0.000
Sr 0.000 0.500 0.500
Sr 0.500 0.000 0.500
Sr 0.500 0.500 0.000
Tl 0.000 0.000 0.500
Tl 0.000 0.500 0.000
Tl 0.500 0.000 0.000
Tl 0.500 0.500 0.500
Hg 0.250 0.250 0.250
Hg 0.250 0.750 0.750
Hg 0.750 0.250 0.750
Hg 0.750 0.750 0.250
Pt 0.250 0.250 0.750
Pt 0.250 0.750 0.250
Pt 0.750 0.250 0.250
Pt 0.750 0.750 0.750



19.
## SrTmHgPt (PBE)

Data for a relaxed SrTmHgPt crystal.

- calculated total energy (eV per atom) = -3.76
- formation energy (eV per atom) = -0.6318
- total magnetization (μB per cell) = 0.000

Cell: 7.344 7.344 7.344 Å, 90.00 90.00 90.00°
Sites, in units of the cell vectors:
Sr 0.000 0.000 0.000
Sr 0.000 0.500 0.500
Sr 0.500 0.000 0.500
Sr 0.500 0.500 0.000
Tm 0.000 0.000 0.500
Tm 0.000 0.500 0.000
Tm 0.500 0.000 0.000
Tm 0.500 0.500 0.500
Hg 0.250 0.250 0.250
Hg 0.250 0.750 0.750
Hg 0.750 0.250 0.750
Hg 0.750 0.750 0.250
Pt 0.250 0.250 0.750
Pt 0.250 0.750 0.250
Pt 0.750 0.250 0.250
Pt 0.750 0.750 0.750



20.
## SrYHgPt (PBE)

Data for a relaxed SrYHgPt crystal.

- calculated total energy (eV per atom) = -4.27
- formation energy (eV per atom) = -0.6450
- total magnetization (μB per cell) = 0.000

Cell: 7.397 7.397 7.397 Å, 90.00 90.00 90.00°
Sites, in units of the cell vectors:
Sr 0.000 0.000 0.000
Sr 0.000 0.500 0.500
Sr 0.500 0.000 0.500
Sr 0.500 0.500 0.000
Y 0.000 0.000 0.500
Y 0.000 0.500 0.000
Y 0.500 0.000 0.000
Y 0.500 0.500 0.500
Hg 0.250 0.250 0.750
Hg 0.250 0.750 0.250
Hg 0.750 0.250 0.250
Hg 0.750 0.750 0.750
Pt 0.250 0.250 0.250
Pt 0.250 0.750 0.750
Pt 0.750 0.250 0.750
Pt 0.750 0.750 0.250